Entry 1:
Tb2PuRh9: relaxed, PBE.

Geometry as CIF:
```
data_Tb2PuRh9
_symmetry_space_group_name_H-M 'P 1'
_symmetry_Int_Tables_number 1
_cell_length_a 9.3028
_cell_length_b 9.3028
_cell_length_c 9.3028
_cell_angle_alpha 32.85
_cell_angle_beta 32.85
_cell_angle_gamma 32.85
loop_
_symmetry_equiv_pos_as_xyz
'x,y,z'
loop_
_atom_site_label
_atom_site_type_symbol
_atom_site_fract_x
_atom_site_fract_y
_atom_site_fract_z
Tb1 Tb 0.1389 0.1389 0.1389
Tb2 Tb 0.8611 0.8611 0.8611
Pu1 Pu 0.0000 0.0000 0.0000
Rh1 Rh 0.0823 0.5831 0.5831
Rh2 Rh 0.3332 0.3332 0.3332
Rh3 Rh 0.4169 0.4169 0.9177
Rh4 Rh 0.4169 0.9177 0.4169
Rh5 Rh 0.5000 0.5000 0.5000
Rh6 Rh 0.5831 0.0823 0.5831
Rh7 Rh 0.5831 0.5831 0.0823
Rh8 Rh 0.6668 0.6668 0.6668
Rh9 Rh 0.9177 0.4169 0.4169
```

Space-group type ... No. 166
Energy relative to the elements ... -0.493 eV/atom
ρ ... 11.7 g/cm³
DFT total energy ... -7.973 eV per atom
Magnetization ... 0.368 μB per atom
Volume ... 17.6 A^3/atom



Entry 2:
TbPu2Rh: relaxed, PBE.

Geometry as CIF:
```
data_TbPu2Rh
_symmetry_space_group_name_H-M 'P 1'
_symmetry_Int_Tables_number 1
_cell_length_a 3.5762
_cell_length_b 3.5762
_cell_length_c 7.7416
_cell_angle_alpha 90.00
_cell_angle_beta 90.00
_cell_angle_gamma 90.00
loop_
_symmetry_equiv_pos_as_xyz
'x,y,z'
loop_
_atom_site_label
_atom_site_type_symbol
_atom_site_fract_x
_atom_site_fract_y
_atom_site_fract_z
Tb1 Tb 0.0000 0.0000 0.0000
Pu1 Pu 0.5000 0.5000 0.3021
Pu2 Pu 0.5000 0.5000 0.6979
Rh1 Rh 0.0000 0.0000 0.5000
```

Space-group type ... No. 123
Polymorph energy (0 for the lowest one) ... 0.000 eV/atom
Energy relative to the elements ... -0.132 eV/atom
ρ ... 12.6 g/cm³
DFT total energy ... -10.293 eV per atom
Magnetization ... 2.882 μB per atom
Volume ... 24.8 A^3/atom



Entry 3:
TbPuTcRh: relaxed, PBE.

Geometry as CIF:
```
data_TbPuTcRh
_symmetry_space_group_name_H-M 'P 1'
_symmetry_Int_Tables_number 1
_cell_length_a 4.8227
_cell_length_b 4.8227
_cell_length_c 4.8227
_cell_angle_alpha 60.00
_cell_angle_beta 60.00
_cell_angle_gamma 60.00
loop_
_symmetry_equiv_pos_as_xyz
'x,y,z'
loop_
_atom_site_label
_atom_site_type_symbol
_atom_site_fract_x
_atom_site_fract_y
_atom_site_fract_z
Tb1 Tb 0.0000 0.0000 0.0000
Pu1 Pu 0.5000 0.5000 0.5000
Tc1 Tc 0.2500 0.2500 0.2500
Rh1 Rh 0.7500 0.7500 0.7500
```

Space-group type ... No. 216
Energy relative to the elements ... -0.257 eV/atom
ρ ... 12.6 g/cm³
DFT total energy ... -9.427 eV per atom
Magnetization ... 1.012 μB per atom
Volume ... 19.8 A^3/atom



Entry 4:
TbPuTlRh: relaxed, PBE.

Geometry as CIF:
```
data_TbPuTlRh
_symmetry_space_group_name_H-M 'P 1'
_symmetry_Int_Tables_number 1
_cell_length_a 3.4039
_cell_length_b 3.4039
_cell_length_c 8.3385
_cell_angle_alpha 90.00
_cell_angle_beta 90.00
_cell_angle_gamma 90.00
loop_
_symmetry_equiv_pos_as_xyz
'x,y,z'
loop_
_atom_site_label
_atom_site_type_symbol
_atom_site_fract_x
_atom_site_fract_y
_atom_site_fract_z
Tb1 Tb 0.0000 0.0000 0.0000
Pu1 Pu 0.0000 0.0000 0.5868
Tl1 Tl 0.5000 0.5000 0.2938
Rh1 Rh 0.5000 0.5000 0.8008
```

Space-group type ... No. 99
Polymorph energy (0 for the lowest one) ... 0.000 eV/atom
Energy relative to the elements ... -0.406 eV/atom
ρ ... 12.2 g/cm³
DFT total energy ... -7.576 eV per atom
Magnetization ... 1.353 μB per atom
Volume ... 24.2 A^3/atom



Entry 5:
TbPuTlRh: relaxed, PBE.

Geometry as CIF:
```
data_TbPuTlRh
_symmetry_space_group_name_H-M 'P 1'
_symmetry_Int_Tables_number 1
_cell_length_a 5.1425
_cell_length_b 5.1425
_cell_length_c 5.1425
_cell_angle_alpha 60.00
_cell_angle_beta 60.00
_cell_angle_gamma 60.00
loop_
_symmetry_equiv_pos_as_xyz
'x,y,z'
loop_
_atom_site_label
_atom_site_type_symbol
_atom_site_fract_x
_atom_site_fract_y
_atom_site_fract_z
Tb1 Tb 0.0000 0.0000 0.0000
Pu1 Pu 0.5000 0.5000 0.5000
Tl1 Tl 0.2500 0.2500 0.2500
Rh1 Rh 0.7500 0.7500 0.7500
```

Space-group type ... No. 216
Polymorph energy (0 for the lowest one) ... 0.170 eV/atom
Energy relative to the elements ... -0.235 eV/atom
ρ ... 12.3 g/cm³
DFT total energy ... -7.405 eV per atom
Magnetization ... 1.352 μB per atom
Volume ... 24.0 A^3/atom



Entry 6:
Tb2PuZn2Rh5: relaxed, PBE.

Geometry as CIF:
```
data_Tb2PuZn2Rh5
_symmetry_space_group_name_H-M 'P 1'
_symmetry_Int_Tables_number 1
_cell_length_a 9.7803
_cell_length_b 9.7803
_cell_length_c 3.7193
_cell_angle_alpha 90.00
_cell_angle_beta 90.00
_cell_angle_gamma 90.00
loop_
_symmetry_equiv_pos_as_xyz
'x,y,z'
loop_
_atom_site_label
_atom_site_type_symbol
_atom_site_fract_x
_atom_site_fract_y
_atom_site_fract_z
Tb1 Tb 0.1707 0.3293 0.0000
Tb2 Tb 0.3293 0.8293 0.0000
Tb3 Tb 0.6707 0.1707 0.0000
Tb4 Tb 0.8293 0.6707 0.0000
Pu1 Pu 0.0000 0.0000 0.0000
Pu2 Pu 0.5000 0.5000 0.0000
Zn1 Zn 0.1243 0.6243 0.0000
Zn2 Zn 0.3757 0.1243 0.0000
Zn3 Zn 0.6243 0.8757 0.0000
Zn4 Zn 0.8757 0.3757 0.0000
Rh1 Rh 0.0000 0.5000 0.5000
Rh2 Rh 0.0698 0.7951 0.5000
Rh3 Rh 0.2049 0.0698 0.5000
Rh4 Rh 0.2951 0.5698 0.5000
Rh5 Rh 0.4302 0.2951 0.5000
Rh6 Rh 0.5000 0.0000 0.5000
Rh7 Rh 0.5698 0.7049 0.5000
Rh8 Rh 0.7049 0.4302 0.5000
Rh9 Rh 0.7951 0.9302 0.5000
Rh10 Rh 0.9302 0.2049 0.5000
```

Space-group type ... No. 127
Energy relative to the elements ... -0.625 eV/atom
ρ ... 11.3 g/cm³
DFT total energy ... -6.915 eV per atom
Magnetization ... 0.432 μB per atom
Volume ... 17.8 A^3/atom



Entry 7:
Pu12Tc2Rh5: relaxed, PBE.

Geometry as CIF:
```
data_Pu12Tc2Rh5
_symmetry_space_group_name_H-M 'P 1'
_symmetry_Int_Tables_number 1
_cell_length_a 7.4338
_cell_length_b 7.4338
_cell_length_c 8.1318
_cell_angle_alpha 109.42
_cell_angle_beta 109.42
_cell_angle_gamma 74.58
loop_
_symmetry_equiv_pos_as_xyz
'x,y,z'
loop_
_atom_site_label
_atom_site_type_symbol
_atom_site_fract_x
_atom_site_fract_y
_atom_site_fract_z
Pu1 Pu 0.0048 0.0048 0.1720
Pu2 Pu 0.0593 0.4118 0.8315
Pu3 Pu 0.1994 0.6170 0.5647
Pu4 Pu 0.3830 0.8006 0.4353
Pu5 Pu 0.4118 0.0593 0.8315
Pu6 Pu 0.4802 0.4802 0.2028
Pu7 Pu 0.5198 0.5198 0.7972
Pu8 Pu 0.5882 0.9407 0.1685
Pu9 Pu 0.6170 0.1994 0.5647
Pu10 Pu 0.8006 0.3830 0.4353
Pu11 Pu 0.9407 0.5882 0.1685
Pu12 Pu 0.9952 0.9952 0.8280
Tc1 Tc 0.2756 0.7244 0.0000
Tc2 Tc 0.7244 0.2756 0.0000
Rh1 Rh 0.0000 0.0000 0.5000
Rh2 Rh 0.2314 0.2314 0.5107
Rh3 Rh 0.2462 0.2462 0.1714
Rh4 Rh 0.7538 0.7538 0.8286
Rh5 Rh 0.7686 0.7686 0.4893
```

Space-group type ... No. 12
Energy relative to the elements ... -0.062 eV/atom
ρ ... 15.4 g/cm³
DFT total energy ... -12.140 eV per atom
Magnetization ... 0.001 μB per atom
Volume ... 20.7 A^3/atom



Entry 8:
Pu6TcRh2: relaxed, PBE.

Geometry as CIF:
```
data_Pu6TcRh2
_symmetry_space_group_name_H-M 'P 1'
_symmetry_Int_Tables_number 1
_cell_length_a 7.6919
_cell_length_b 7.6919
_cell_length_c 2.8940
_cell_angle_alpha 90.00
_cell_angle_beta 90.00
_cell_angle_gamma 120.00
loop_
_symmetry_equiv_pos_as_xyz
'x,y,z'
loop_
_atom_site_label
_atom_site_type_symbol
_atom_site_fract_x
_atom_site_fract_y
_atom_site_fract_z
Pu1 Pu 0.0000 0.3230 0.0831
Pu2 Pu 0.0000 0.6770 0.9169
Pu3 Pu 0.3230 0.0000 0.0831
Pu4 Pu 0.3230 0.3230 0.9169
Pu5 Pu 0.6770 0.0000 0.9169
Pu6 Pu 0.6770 0.6770 0.0831
Tc1 Tc 0.0000 0.0000 0.5000
Rh1 Rh 0.3333 0.6667 0.5000
Rh2 Rh 0.6667 0.3333 0.5000
```

Space-group type ... No. 162
Energy relative to the elements ... 0.104 eV/atom
ρ ... 19.8 g/cm³
DFT total energy ... -12.236 eV per atom
Magnetization ... 0.000 μB per atom
Volume ... 16.5 A^3/atom



Entry 9:
Pu5Tc2Rh2: relaxed, PBE.

Geometry as CIF:
```
data_Pu5Tc2Rh2
_symmetry_space_group_name_H-M 'P 1'
_symmetry_Int_Tables_number 1
_cell_length_a 8.0413
_cell_length_b 8.0413
_cell_length_c 7.3806
_cell_angle_alpha 90.00
_cell_angle_beta 90.00
_cell_angle_gamma 52.82
loop_
_symmetry_equiv_pos_as_xyz
'x,y,z'
loop_
_atom_site_label
_atom_site_type_symbol
_atom_site_fract_x
_atom_site_fract_y
_atom_site_fract_z
Pu1 Pu 0.0000 0.0000 0.0000
Pu2 Pu 0.0453 0.6779 0.6778
Pu3 Pu 0.1779 0.5453 0.1778
Pu4 Pu 0.3221 0.9547 0.6778
Pu5 Pu 0.4547 0.8221 0.1778
Pu6 Pu 0.5000 0.5000 0.5000
Pu7 Pu 0.5453 0.1779 0.8222
Pu8 Pu 0.6779 0.0453 0.3222
Pu9 Pu 0.8221 0.4547 0.8222
Pu10 Pu 0.9547 0.3221 0.3222
Tc1 Tc 0.1355 0.8645 0.3592
Tc2 Tc 0.3645 0.6355 0.8592
Tc3 Tc 0.6355 0.3645 0.1408
Tc4 Tc 0.8645 0.1355 0.6408
Rh1 Rh 0.2230 0.2230 0.0000
Rh2 Rh 0.2770 0.2770 0.5000
Rh3 Rh 0.7230 0.7230 0.5000
Rh4 Rh 0.7770 0.7770 0.0000
```

Space-group type ... No. 64
Energy relative to the elements ... -0.098 eV/atom
ρ ... 14.2 g/cm³
DFT total energy ... -11.997 eV per atom
Magnetization ... 2.613 μB per atom
Volume ... 21.1 A^3/atom



Entry 10:
Pu6TcRh3: relaxed, PBE.

Geometry as CIF:
```
data_Pu6TcRh3
_symmetry_space_group_name_H-M 'P 1'
_symmetry_Int_Tables_number 1
_cell_length_a 5.7903
_cell_length_b 5.7903
_cell_length_c 12.4461
_cell_angle_alpha 90.00
_cell_angle_beta 90.00
_cell_angle_gamma 120.00
loop_
_symmetry_equiv_pos_as_xyz
'x,y,z'
loop_
_atom_site_label
_atom_site_type_symbol
_atom_site_fract_x
_atom_site_fract_y
_atom_site_fract_z
Pu1 Pu 0.1376 0.3691 0.3409
Pu2 Pu 0.1376 0.7685 0.1591
Pu3 Pu 0.2315 0.3691 0.1591
Pu4 Pu 0.2315 0.8624 0.3409
Pu5 Pu 0.3691 0.1376 0.6591
Pu6 Pu 0.3691 0.2315 0.8409
Pu7 Pu 0.6309 0.7685 0.3409
Pu8 Pu 0.6309 0.8624 0.1591
Pu9 Pu 0.7685 0.1376 0.8409
Pu10 Pu 0.7685 0.6309 0.6591
Pu11 Pu 0.8624 0.2315 0.6591
Pu12 Pu 0.8624 0.6309 0.8409
Tc1 Tc 0.3333 0.6667 0.7500
Tc2 Tc 0.6667 0.3333 0.2500
Rh1 Rh 0.0000 0.0000 0.0000
Rh2 Rh 0.0000 0.0000 0.5000
Rh3 Rh 0.3333 0.6667 0.5437
Rh4 Rh 0.3333 0.6667 0.9563
Rh5 Rh 0.6667 0.3333 0.0437
Rh6 Rh 0.6667 0.3333 0.4563
```

Space-group type ... No. 182
Energy relative to the elements ... 0.320 eV/atom
ρ ... 17.2 g/cm³
DFT total energy ... -11.521 eV per atom
Magnetization ... 0.327 μB per atom
Volume ... 18.1 A^3/atom



Entry 11:
Pu4Tc3Rh: relaxed, PBE.

Geometry as CIF:
```
data_Pu4Tc3Rh
_symmetry_space_group_name_H-M 'P 1'
_symmetry_Int_Tables_number 1
_cell_length_a 3.4215
_cell_length_b 4.7395
_cell_length_c 9.4994
_cell_angle_alpha 90.00
_cell_angle_beta 90.00
_cell_angle_gamma 90.00
loop_
_symmetry_equiv_pos_as_xyz
'x,y,z'
loop_
_atom_site_label
_atom_site_type_symbol
_atom_site_fract_x
_atom_site_fract_y
_atom_site_fract_z
Pu1 Pu 0.0000 0.0000 0.0000
Pu2 Pu 0.0000 0.0000 0.5000
Pu3 Pu 0.0000 0.5000 0.2489
Pu4 Pu 0.0000 0.5000 0.7511
Tc1 Tc 0.5000 0.0000 0.2432
Tc2 Tc 0.5000 0.0000 0.7568
Tc3 Tc 0.5000 0.5000 0.0000
Rh1 Rh 0.5000 0.5000 0.5000
```

Space-group type ... No. 47
Energy relative to the elements ... 0.019 eV/atom
ρ ... 14.8 g/cm³
DFT total energy ... -11.953 eV per atom
Magnetization ... 0.004 μB per atom
Volume ... 19.3 A^3/atom



Entry 12:
Pu6Tc2Rh: relaxed, PBE.

Geometry as CIF:
```
data_Pu6Tc2Rh
_symmetry_space_group_name_H-M 'P 1'
_symmetry_Int_Tables_number 1
_cell_length_a 7.5667
_cell_length_b 7.5667
_cell_length_c 2.9937
_cell_angle_alpha 90.00
_cell_angle_beta 90.00
_cell_angle_gamma 120.00
loop_
_symmetry_equiv_pos_as_xyz
'x,y,z'
loop_
_atom_site_label
_atom_site_type_symbol
_atom_site_fract_x
_atom_site_fract_y
_atom_site_fract_z
Pu1 Pu 0.0000 0.3391 0.0836
Pu2 Pu 0.0000 0.6609 0.9164
Pu3 Pu 0.3391 0.0000 0.0836
Pu4 Pu 0.3391 0.3391 0.9164
Pu5 Pu 0.6609 0.0000 0.9164
Pu6 Pu 0.6609 0.6609 0.0836
Tc1 Tc 0.3333 0.6667 0.5000
Tc2 Tc 0.6667 0.3333 0.5000
Rh1 Rh 0.0000 0.0000 0.5000
```

Space-group type ... No. 162
Energy relative to the elements ... 0.140 eV/atom
ρ ... 19.7 g/cm³
DFT total energy ... -12.535 eV per atom
Magnetization ... 0.000 μB per atom
Volume ... 16.5 A^3/atom